# 1
Entry from the Alexandria database: an optimized crystal structure of Li6CdPd3 (GGA-PBE).

Geometry as CIF:
```
data_Li6CdPd3
_chemical_formula_sum 'Li24 Cd4 Pd12'
_cell_length_a 8.013
_cell_length_b 15.735
_cell_length_c 4.970
_cell_angle_alpha 90.00
_cell_angle_beta 90.00
_cell_angle_gamma 90.00
_space_group_name_H-M_alt 'C m c 21'
_space_group_IT_number 36
loop_
_space_group_symop_operation_xyz
'x,y,z'
'-x,-y,z+1/2'
'-x,y,z'
'x,-y,z+1/2'
'x+1/2,y+1/2,z'
'-x+1/2,-y+1/2,z+1/2'
'-x+1/2,y+1/2,z'
'x+1/2,-y+1/2,z+1/2'
loop_
_atom_site_label
_atom_site_type_symbol
_atom_site_fract_x
_atom_site_fract_y
_atom_site_fract_z
Li1 Li 0.000 0.002 0.000
Li2 Li 0.000 0.317 0.007
Li3 Li 0.177 0.277 0.554
Li4 Li 0.190 0.453 0.796
Cd1 Cd 0.000 0.156 0.243
Pd1 Pd 0.000 0.412 0.388
Pd2 Pd 0.174 0.120 0.742
```

The energy above the most stable polymorph in this dataset comes out at 5 meV per atom. Its density is 5.02 g/cm³. The calculation puts the formation energy at -310 meV per atom. The calculation puts the total energy at -124.3 eV per cell. Its volume is 157 Å³/f.u. Its magnetization is 0.00 μB per formula unit.

# 2
Entry from the Alexandria database: an optimized crystal structure of Li2Cd6Pd (GGA-PBE).

Geometry as CIF:
```
data_Li2Cd6Pd
_chemical_formula_sum 'Li4 Cd12 Pd2'
_cell_length_a 8.218
_cell_length_b 4.741
_cell_length_c 8.888
_cell_angle_alpha 90.00
_cell_angle_beta 90.08
_cell_angle_gamma 90.00
_space_group_name_H-M_alt 'C 1 2/m 1'
_space_group_IT_number 12
loop_
_space_group_symop_operation_xyz
'x,y,z'
'-x,-y,-z'
'-x,y,-z'
'x,-y,z'
'x+1/2,y+1/2,z'
'-x+1/2,-y+1/2,-z'
'-x+1/2,y+1/2,-z'
'x+1/2,-y+1/2,z'
loop_
_atom_site_label
_atom_site_type_symbol
_atom_site_fract_x
_atom_site_fract_y
_atom_site_fract_z
Li1 Li 0.167 0.000 0.213
Cd1 Cd 0.000 0.500 0.314
Cd2 Cd 0.167 0.000 0.557
Cd3 Cd 0.167 0.000 0.902
Pd1 Pd 0.000 0.500 0.000
```

The energy above the most stable polymorph in this dataset comes out at 0 meV per atom. Its density is 7.62 g/cm³. The calculation puts the formation energy at -252 meV per atom. The calculation puts the total energy at -33.6 eV per cell. Its volume is 173 Å³/f.u. Its magnetization is 0.00 μB per formula unit.

# 3
Entry from the Alexandria database: an optimized crystal structure of LiCd8Pd2 (GGA-PBE).

Geometry as CIF:
```
data_LiCd8Pd2
_chemical_formula_sum 'Li2 Cd16 Pd4'
_cell_length_a 8.595
_cell_length_b 11.292
_cell_length_c 4.607
_cell_angle_alpha 90.00
_cell_angle_beta 90.00
_cell_angle_gamma 90.00
_space_group_name_H-M_alt 'C m m m'
_space_group_IT_number 65
_space_group_name_Hall '-C 2 2'
loop_
_atom_site_label
_atom_site_type_symbol
_atom_site_fract_x
_atom_site_fract_y
_atom_site_fract_z
Li1 Li 0.000 0.000 0.000
Cd1 Cd 0.000 0.247 0.000
Cd2 Cd 0.168 0.500 0.000
Cd3 Cd 0.172 0.133 0.500
Pd1 Pd 0.000 0.376 0.500
```

The energy above the most stable polymorph in this dataset comes out at 0 meV per atom. Its density is 8.31 g/cm³. The calculation puts the formation energy at -181 meV per atom. The calculation puts the total energy at -43.2 eV per cell. Its volume is 224 Å³/f.u. Its magnetization is 0.00 μB per formula unit.

# 4
Entry from the Alexandria database: an optimized crystal structure of Li2CdPd9 (GGA-PBE).

Geometry as CIF:
```
data_Li2CdPd9
_chemical_formula_sum 'Li2 Cd1 Pd9'
_cell_length_a 3.956
_cell_length_b 3.956
_cell_length_c 11.712
_cell_angle_alpha 90.00
_cell_angle_beta 90.00
_cell_angle_gamma 90.00
_space_group_name_H-M_alt 'P 4/m m m'
_space_group_IT_number 123
_space_group_name_Hall '-P 4 2'
loop_
_atom_site_label
_atom_site_type_symbol
_atom_site_fract_x
_atom_site_fract_y
_atom_site_fract_z
Li1 Li 0.000 0.000 0.161
Cd1 Cd 0.000 0.000 0.500
Pd1 Pd 0.000 0.500 0.000
Pd2 Pd 0.000 0.500 0.324
Pd3 Pd 0.500 0.500 0.161
Pd4 Pd 0.500 0.500 0.500
```

Its density is 9.82 g/cm³. The calculation puts the formation energy at -241 meV per atom. The calculation puts the total energy at -54.4 eV per cell. Its volume is 183 Å³/f.u. Its magnetization is 0.00 μB per formula unit.

# 5
Entry from the Alexandria database: an optimized crystal structure of LiCd2Pd5 (GGA-PBE).

Geometry as CIF:
```
data_LiCd2Pd5
_chemical_formula_sum 'Li2 Cd4 Pd10'
_cell_length_a 4.557
_cell_length_b 4.557
_cell_length_c 12.484
_cell_angle_alpha 90.00
_cell_angle_beta 90.00
_cell_angle_gamma 90.00
_space_group_name_H-M_alt 'I 4/m m m'
_space_group_IT_number 139
_space_group_name_Hall '-I 4 2'
loop_
_atom_site_label
_atom_site_type_symbol
_atom_site_fract_x
_atom_site_fract_y
_atom_site_fract_z
Li1 Li 0.000 0.000 0.000
Cd1 Cd 0.000 0.000 0.251
Pd1 Pd 0.000 0.000 0.500
Pd2 Pd 0.000 0.500 0.118
```

The energy above the most stable polymorph in this dataset comes out at 20 meV per atom. Its density is 9.78 g/cm³. The calculation puts the formation energy at -335 meV per atom. The calculation puts the total energy at -64.8 eV per cell. Its volume is 130 Å³/f.u. Its magnetization is 0.00 μB per formula unit.

# 6
Entry from the Alexandria database: an optimized crystal structure of LiCd4Pd2 (GGA-PBE).

Geometry as CIF:
```
data_LiCd4Pd2
_chemical_formula_sum 'Li3 Cd12 Pd6'
_cell_length_a 4.6428
_cell_length_b 4.6428
_cell_length_c 21.9853
_cell_angle_alpha 90.00
_cell_angle_beta 90.00
_cell_angle_gamma 120.00
_space_group_name_H-M_alt 'R -3 m'
_space_group_IT_number 166
_space_group_name_Hall '-R 3 2"'
loop_
_atom_site_label
_atom_site_type_symbol
_atom_site_fract_x
_atom_site_fract_y
_atom_site_fract_z
Li1 Li 0.0000 0.0000 0.0000
Cd1 Cd 0.0000 0.0000 0.1293
Cd2 Cd 0.0000 0.0000 0.3850
Pd1 Pd 0.0000 0.0000 0.2563
```

The energy above the most stable polymorph in this dataset comes out at 0 meV per atom. Its density is 8.13 g/cm³. The calculation puts the formation energy at -334 meV per atom. The calculation puts the total energy at -54.9 eV per cell. Its volume is 137 Å³/f.u. Its magnetization is 0.00 μB per formula unit.

# 7
Entry from the Alexandria database: an optimized crystal structure of LiCd8Pd2 (GGA-PBE).

Geometry as CIF:
```
data_LiCd8Pd2
_chemical_formula_sum 'Li2 Cd16 Pd4'
_cell_length_a 14.580
_cell_length_b 5.689
_cell_length_c 5.565
_cell_angle_alpha 90.00
_cell_angle_beta 96.94
_cell_angle_gamma 90.00
_space_group_name_H-M_alt 'C 1 2/m 1'
_space_group_IT_number 12
loop_
_space_group_symop_operation_xyz
'x,y,z'
'-x,-y,-z'
'-x,y,-z'
'x,-y,z'
'x+1/2,y+1/2,z'
'-x+1/2,-y+1/2,-z'
'-x+1/2,y+1/2,-z'
'x+1/2,-y+1/2,z'
loop_
_atom_site_label
_atom_site_type_symbol
_atom_site_fract_x
_atom_site_fract_y
_atom_site_fract_z
Li1 Li 0.000 0.000 0.000
Cd1 Cd 0.081 0.500 0.884
Cd2 Cd 0.096 0.247 0.400
Cd3 Cd 0.224 0.000 0.823
Pd1 Pd 0.243 0.500 0.675
```

The energy above the most stable polymorph in this dataset comes out at 9 meV per atom. Its density is 8.11 g/cm³. The calculation puts the formation energy at -172 meV per atom. The calculation puts the total energy at -43.0 eV per cell. Its volume is 229 Å³/f.u. Its magnetization is 0.00 μB per formula unit.

# 8
Entry from the Alexandria database: an optimized crystal structure of Li4Cd3Pd2 (GGA-PBE).

Geometry as CIF:
```
data_Li4Cd3Pd2
_chemical_formula_sum 'Li8 Cd6 Pd4'
_cell_length_a 9.118
_cell_length_b 4.189
_cell_length_c 8.481
_cell_angle_alpha 90.00
_cell_angle_beta 111.63
_cell_angle_gamma 90.00
_space_group_name_H-M_alt 'C 1 2/m 1'
_space_group_IT_number 12
loop_
_space_group_symop_operation_xyz
'x,y,z'
'-x,-y,-z'
'-x,y,-z'
'x,-y,z'
'x+1/2,y+1/2,z'
'-x+1/2,-y+1/2,-z'
'-x+1/2,y+1/2,-z'
'x+1/2,-y+1/2,z'
loop_
_atom_site_label
_atom_site_type_symbol
_atom_site_fract_x
_atom_site_fract_y
_atom_site_fract_z
Li1 Li 0.003 0.000 0.171
Li2 Li 0.165 0.500 0.391
Cd1 Cd 0.000 0.000 0.500
Cd2 Cd 0.172 0.500 0.065
Pd1 Pd 0.162 0.500 0.715
```

The energy above the most stable polymorph in this dataset comes out at 0 meV per atom. Its density is 6.37 g/cm³. The calculation puts the formation energy at -369 meV per atom. The calculation puts the total energy at -48.2 eV per cell. Its volume is 151 Å³/f.u. Its magnetization is 0.00 μB per formula unit.